Computed, not measured: an optimized crystal structure of MgC4 at the PBEsol level of DFT.

Values from the calculation:
energy of formation from the pure elements: 1.771 eV per atom
distance to the lowest polymorph of the same formula: 669 meV per atom

```
data_MgC4
_space_group_name_H-M_alt 'I 4/m m m'
_space_group_IT_number 139
_space_group_name_Hall '-I 4 2'
_cell_length_a 3.269
_cell_length_b 3.269
_cell_length_c 7.478
_cell_angle_alpha 90.00
_cell_angle_beta 90.00
_cell_angle_gamma 90.00
loop_
_atom_site_label
_atom_site_fract_x
_atom_site_fract_y
_atom_site_fract_z
Mg1 0.000 0.000 0.000
C1 0.000 0.000 0.301
C2 0.000 0.500 0.250
```